VASP calculation (PBE-GGA) on an optimized crystal structure of Ho6ScTl5.

**N(E_F)**: 12.158 states/eV/f.u.
**Final energy**: -4.07 eV per atom
**Volume**: 650.1 Å³/cell
**Excess energy over the best structure of this formula in the dataset**: 0.000 eV/atom
**Formation enthalpy at 0 K**: -0.27 eV per atom

Cell: 4.951 8.714 15.070 Å, 90.00 90.00 90.00°
Space group Immm (No. 71)
Inequivalent atoms, fractional coordinates:
Ho1 0.000 0.232 0.000 x4
Ho2 0.000 0.258 0.331 x8
Sc1 0.000 0.000 0.500 x2
Tl1 0.000 0.000 0.175 x4
Tl2 0.000 0.500 0.146 x4
Tl3 0.000 0.500 0.500 x2